The following is a SCAN calculation of a PBEsol-optimized structure of KRhPb2O, from Alexandria.

Geometry as extended XYZ:
```
5
Lattice="4.696 0.000 0.000 0.000 4.812 0.000 0.000 0.000 4.812" Properties=species:S:1:pos:R:3 pbc="T T T"
Pb 0.000 0.000 2.406
Pb 0.000 2.406 0.000
K 2.348 0.000 0.000
Rh 2.348 2.406 2.406
O 0.000 0.000 0.000
```

Total energy ... -200.1 eV for the cell shown
Formation energy from raw total energies ... -42 meV per atom
M_tot ... 0.000 μB per formula unit

The following is a SCAN calculation of a PBEsol-optimized structure of KV3Pb4O12, from Alexandria.

Geometry as extended XYZ:
```
40
Lattice="7.421 0.000 0.000 0.000 10.052 0.000 0.000 -5.026 8.706" Properties=species:S:1:pos:R:3 pbc="T T T"
K 3.611 0.000 5.804
K 7.321 5.026 2.902
V 1.876 1.198 8.582
V 1.876 1.807 3.377
V 1.876 -3.005 5.452
V 5.586 3.828 0.123
V 5.586 3.219 5.329
V 5.586 8.032 3.253
Pb 5.542 -3.750 6.517
Pb 5.542 2.492 8.695
Pb 5.542 1.258 2.200
Pb 1.832 8.776 2.189
Pb 1.832 2.534 0.011
Pb 1.832 3.769 6.506
Pb 3.577 5.026 2.902
Pb 7.287 0.000 5.804
O 6.922 4.204 5.712
O 6.922 7.871 2.208
O 6.922 3.003 0.785
O 3.211 0.822 2.993
O 3.211 -2.845 6.497
O 3.211 2.023 7.921
O 0.527 0.900 2.860
O 0.527 -2.999 6.496
O 0.527 2.099 8.055
O 4.237 4.126 5.845
O 4.237 8.025 2.210
O 4.237 2.927 0.651
O 1.776 -0.402 7.915
O 1.776 2.029 5.096
O 1.776 -1.627 4.400
O 5.486 5.428 0.791
O 5.486 2.997 3.610
O 5.486 6.654 4.305
O 1.986 3.297 2.515
O 1.986 5.555 4.593
O 1.986 6.226 1.598
O 5.697 1.729 6.191
O 5.697 -0.529 4.113
O 5.697 -1.200 7.107
```

Total energy ... -961.9 eV for the cell shown
Formation energy from raw total energies ... -2114 meV per atom
M_tot ... 0.000 μB per formula unit

The following is a SCAN calculation of a PBEsol-optimized structure of KVPbO4, from Alexandria.

Geometry as extended XYZ:
```
28
Lattice="5.738 0.000 0.000 0.000 7.652 0.000 0.000 0.000 10.043" Properties=species:S:1:pos:R:3 pbc="T T T"
K 4.304 2.448 5.955
K 1.435 5.204 4.088
K 4.304 6.275 9.109
K 1.435 1.378 0.934
V 1.435 1.893 4.237
V 4.304 5.759 5.805
V 1.435 5.719 0.784
V 4.304 1.933 9.259
Pb 1.435 0.067 7.166
Pb 4.304 7.585 2.877
Pb 1.435 3.893 7.898
Pb 4.304 3.759 2.145
O 4.304 7.417 6.109
O 1.435 0.235 3.934
O 4.304 3.591 8.955
O 1.435 4.061 1.088
O 1.435 2.156 5.964
O 4.304 5.496 4.079
O 1.435 5.982 9.100
O 4.304 1.670 0.942
O 2.840 2.611 3.562
O 5.709 5.041 6.480
O 0.029 6.437 1.459
O 2.898 1.215 8.584
O 2.898 5.041 6.480
O 0.029 2.611 3.562
O 5.709 1.215 8.584
O 2.840 6.437 1.459
```

Total energy ... -568.1 eV for the cell shown
Formation energy from raw total energies ... -2215 meV per atom
M_tot ... 0.000 μB per formula unit

The following is a SCAN calculation of a PBEsol-optimized structure of K2PdPtO, from Alexandria.

Geometry as extended XYZ:
```
5
Lattice="-2.626 2.273 1.099 -0.696 -3.323 5.211 4.254 3.546 2.830" Properties=species:S:1:pos:R:3 pbc="T T T"
O -1.313 1.137 0.549
K 2.127 1.773 1.415
K -0.348 -1.662 2.605
Pd 0.466 1.248 4.570
Pt 0.000 0.000 0.000
```

Total energy ... -126.4 eV for the cell shown
Formation energy from raw total energies ... -115 meV per atom
M_tot ... 0.072 μB per formula unit

The following is a SCAN calculation of a PBEsol-optimized structure of KRbPd2O, from Alexandria.

Geometry as extended XYZ:
```
5
Lattice="5.032 0.000 0.000 0.000 5.032 0.000 0.000 0.000 10.022" Properties=species:S:1:pos:R:3 pbc="T T T"
O 2.516 2.516 5.011
K 0.000 0.000 5.011
Rb 0.000 0.000 0.000
Pd 0.000 2.516 0.000
Pd 2.516 0.000 0.000
```

Total energy ... -95.4 eV for the cell shown
Formation energy from raw total energies ... 1091 meV per atom
M_tot ... 1.056 μB per formula unit

The following is a SCAN calculation of a PBEsol-optimized structure of K2PdS8O26, from Alexandria.

Geometry as extended XYZ:
```
37
Lattice="7.479 0.056 -0.068 2.782 8.460 -0.484 0.087 2.302 8.619" Properties=species:S:1:pos:R:3 pbc="T T T"
K 7.229 2.395 1.124
K 3.119 8.422 6.944
Pd 5.174 5.409 4.034
S 3.427 3.489 2.362
S 6.920 7.328 5.706
S 1.605 2.849 4.534
S 8.742 7.969 3.534
S 5.365 3.383 6.498
S 4.983 7.435 1.569
S 2.590 4.263 6.882
S 7.757 6.554 1.186
O 2.897 2.500 3.714
O 7.451 8.317 4.353
O 3.561 4.827 3.007
O 6.786 5.990 5.060
O 2.337 3.477 1.439
O 8.011 7.340 6.629
O 2.106 4.200 5.319
O 8.241 6.617 2.749
O 8.039 3.371 3.621
O 2.308 7.446 4.446
O 4.650 2.829 2.044
O 5.697 7.988 6.023
O 1.414 1.800 5.472
O 8.934 9.018 2.595
O 5.248 3.682 5.047
O 5.100 7.135 3.020
O 3.684 3.142 6.963
O 6.664 7.675 1.105
O 3.150 5.566 6.976
O 7.197 5.251 1.091
O 1.508 3.827 7.694
O 8.839 6.990 0.374
O 5.821 4.446 7.340
O 4.527 6.371 0.728
O 5.839 2.053 6.709
O 4.508 8.764 1.358
```

Total energy ... -341.7 eV for the cell shown
Formation energy from raw total energies ... -1440 meV per atom
M_tot ... 0.071 μB per formula unit

The following is a SCAN calculation of a PBEsol-optimized structure of KSmPdO3, from Alexandria.

Geometry as extended XYZ:
```
12
Lattice="3.891 0.000 0.000 -1.945 6.517 0.007 0.000 -1.874 7.114" Properties=species:S:1:pos:R:3 pbc="T T T"
K 0.000 3.830 3.105
K 1.945 0.813 4.017
Sm 0.000 2.837 6.568
Sm 1.945 1.806 0.553
Pd 0.000 -1.364 5.519
Pd 1.945 6.007 1.603
O 1.945 4.060 0.950
O 1.945 3.168 5.155
O 0.000 0.583 6.171
O 0.000 6.080 1.349
O 1.945 -1.437 5.772
O 0.000 1.475 1.967
```

Total energy ... -235.2 eV for the cell shown
Formation energy from raw total energies ... -2225 meV per atom
M_tot ... 0.000 μB per formula unit

The following is a SCAN calculation of a PBEsol-optimized structure of KZrPd2O, from Alexandria.

Geometry as extended XYZ:
```
5
Lattice="4.307 0.000 0.000 0.000 4.307 0.000 0.000 0.000 4.586" Properties=species:S:1:pos:R:3 pbc="T T T"
O 0.000 0.000 0.000
K 0.000 0.000 2.293
Zr 2.154 2.154 2.293
Pd 0.000 2.154 0.000
Pd 2.154 0.000 0.000
```

Total energy ... -110.0 eV for the cell shown
Formation energy from raw total energies ... 153 meV per atom
M_tot ... 1.273 μB per formula unit

The following is a SCAN calculation of a PBEsol-optimized structure of KPrO2, from Alexandria.

Geometry as extended XYZ:
```
4
Lattice="3.634 0.000 0.000 1.817 3.147 0.000 1.817 1.049 6.210" Properties=species:S:1:pos:R:3 pbc="T T T"
Pr 3.634 2.098 3.105
K 0.000 0.000 0.000
O 1.817 1.049 1.902
O 5.451 3.147 4.308
```

Total energy ... -75.5 eV for the cell shown
Formation energy from raw total energies ... -2848 meV per atom
M_tot ... 0.052 μB per formula unit

The following is a SCAN calculation of a PBEsol-optimized structure of KPr9Si6O26, from Alexandria.

Geometry as extended XYZ:
```
42
Lattice="7.147 0.000 0.000 0.000 9.589 0.000 0.000 -4.794 8.304" Properties=species:S:1:pos:R:3 pbc="T T T"
K 3.597 0.000 0.000
Pr 7.141 0.000 5.536
Pr 3.575 0.000 5.536
Pr 0.030 0.000 0.000
Pr 1.794 5.844 0.745
Pr 1.794 2.518 2.870
Pr 1.794 6.021 4.689
Pr 5.341 3.746 4.823
Pr 5.341 7.098 2.648
Pr 5.341 3.539 0.833
Si 1.767 -1.108 2.528
Si 1.767 -2.051 7.999
Si 1.767 3.159 6.080
Si 5.402 1.121 3.042
Si 5.402 -2.720 5.813
Si 5.402 1.600 7.754
O 1.669 0.343 1.801
O 1.669 -3.406 7.106
O 1.669 3.063 7.700
O 5.338 -0.328 3.826
O 5.338 -1.317 6.675
O 5.338 1.645 6.107
O 1.797 -0.719 7.023
O 1.797 1.648 5.415
O 1.797 -0.928 4.169
O 5.513 5.518 6.685
O 5.513 7.825 0.183
O 5.513 1.040 1.436
O 1.697 4.794 2.768
O 5.361 4.794 2.768
O 3.047 7.546 2.103
O 3.047 2.843 0.718
O 3.047 3.994 5.483
O 6.704 1.903 3.685
O 6.704 -2.554 4.813
O 6.704 0.651 8.109
O 4.064 1.937 3.548
O 4.064 -2.690 4.852
O 4.064 0.753 8.208
O 0.460 7.616 2.025
O 0.460 2.740 0.696
O 0.460 4.027 5.583
```

Total energy ... -767.7 eV for the cell shown
Formation energy from raw total energies ... -3509 meV per atom
M_tot ... 0.016 μB per formula unit

The following is a SCAN calculation of a PBEsol-optimized structure of KPt2O, from Alexandria.

Geometry as extended XYZ:
```
8
Lattice="-3.532 0.954 -3.905 -3.950 0.141 3.607 4.566 5.279 0.826" Properties=species:S:1:pos:R:3 pbc="T T T"
K 0.000 0.000 0.000
K -1.563 2.984 2.142
O -3.741 0.547 -0.149
O -1.353 3.390 -1.614
Pt -0.264 4.608 -0.469
Pt 1.502 4.131 1.484
Pt -4.522 2.039 0.922
Pt -2.547 1.969 -0.882
```

Total energy ... -312.9 eV for the cell shown
Formation energy from raw total energies ... -370 meV per atom
M_tot ... 0.000 μB per formula unit

The following is a SCAN calculation of a PBEsol-optimized structure of KPt3O4, from Alexandria.

Geometry as extended XYZ:
```
16
Lattice="-5.556 -1.512 0.304 0.407 -0.340 5.742 -1.487 5.554 0.434" Properties=species:S:1:pos:R:3 pbc="T T T"
K 0.000 0.000 0.000
K -3.318 1.851 3.240
Pt -2.133 2.399 0.293
Pt -4.911 1.643 0.445
Pt -2.676 -0.841 1.588
Pt -2.473 -1.011 4.458
Pt -0.168 1.218 2.979
Pt -0.912 3.995 3.197
O -1.659 0.926 1.620
O -4.977 2.777 4.860
O -4.234 0.000 4.643
O -5.181 2.947 1.989
O -2.403 3.703 1.837
O -1.456 0.755 4.491
O -2.199 3.532 4.708
O -4.437 0.170 1.772
```

Total energy ... -501.1 eV for the cell shown
Formation energy from raw total energies ... -837 meV per atom
M_tot ... 0.000 μB per formula unit

The following is a SCAN calculation of a PBEsol-optimized structure of K3Pt2O4, from Alexandria.

Geometry as extended XYZ:
```
18
Lattice="-2.109 2.207 -4.608 1.422 -5.317 -0.506 -10.546 -3.138 3.324" Properties=species:S:1:pos:R:3 pbc="T T T"
K -9.667 -5.591 1.149
K -5.433 -1.807 -1.720
K -1.566 -0.657 -2.939
K -5.799 -4.441 -0.069
K -9.019 -2.276 -0.954
K -2.213 -3.972 -0.836
Pt 0.000 0.000 0.000
Pt -5.273 -1.569 1.662
Pt -6.775 -7.058 1.653
Pt -4.458 0.810 -3.443
O -1.436 -3.476 -3.302
O -6.930 -1.920 0.609
O -10.195 -4.578 -1.456
O -3.904 -2.523 0.570
O -9.796 -2.772 1.512
O -4.302 -4.328 -2.399
O -1.038 -1.670 -0.334
O -7.329 -3.725 -2.359
```

Total energy ... -402.9 eV for the cell shown
Formation energy from raw total energies ... -1241 meV per atom
M_tot ... 1.036 μB per formula unit

The following is a SCAN calculation of a PBEsol-optimized structure of K2PuO4, from Alexandria.

Geometry as extended XYZ:
```
7
Lattice="-4.154 0.639 -0.711 0.098 -2.868 -3.151 0.567 -3.628 6.202" Properties=species:S:1:pos:R:3 pbc="T T T"
K -2.463 -2.528 -0.658
K -1.025 -3.329 2.999
Pu 0.000 0.000 0.000
O -3.063 -4.475 1.096
O -0.426 -1.382 1.244
O -2.077 0.320 -0.355
O 0.049 -1.434 -1.576
```

Total energy ... -169.1 eV for the cell shown
Formation energy from raw total energies ... -2488 meV per atom
M_tot ... 2.000 μB per formula unit

The following is a SCAN calculation of a PBEsol-optimized structure of K2Rb2O, from Alexandria.

Geometry as extended XYZ:
```
5
Lattice="4.739 0.000 0.000 0.000 4.739 0.000 -2.369 -2.369 11.741" Properties=species:S:1:pos:R:3 pbc="T T T"
K 0.000 0.000 10.218
K 2.369 2.369 1.523
O 0.000 0.000 0.000
Rb 0.000 2.369 5.871
Rb 2.369 0.000 5.871
```

Total energy ... -63.1 eV for the cell shown
Formation energy from raw total energies ... 246 meV per atom
M_tot ... 1.109 μB per formula unit

The following is a SCAN calculation of a PBEsol-optimized structure of K2RbO, from Alexandria.

Geometry as extended XYZ:
```
8
Lattice="-4.066 -6.638 2.558 -3.956 -4.718 -5.407 2.845 -7.479 -1.764" Properties=species:S:1:pos:R:3 pbc="T T T"
K 0.775 -6.094 -1.459
K -0.647 -2.354 -0.577
K -2.680 -5.674 0.702
K -2.625 -4.713 -3.280
O -1.294 -4.709 -1.153
O 0.000 0.000 0.000
Rb -3.882 -14.127 -3.460
Rb -2.588 -9.418 -2.307
```

Total energy ... -92.4 eV for the cell shown
Formation energy from raw total energies ... -640 meV per atom
M_tot ... 0.000 μB per formula unit

The following is a SCAN calculation of a PBEsol-optimized structure of KRbSc2O, from Alexandria.

Geometry as extended XYZ:
```
5
Lattice="5.253 0.000 0.000 0.000 5.253 0.000 0.000 0.000 6.209" Properties=species:S:1:pos:R:3 pbc="T T T"
Sc 0.000 2.626 0.000
Sc 2.626 0.000 0.000
K 0.000 0.000 3.105
O 2.626 2.626 3.105
Rb 0.000 0.000 0.000
```

Total energy ... -55.0 eV for the cell shown
Formation energy from raw total energies ... 1759 meV per atom
M_tot ... 2.317 μB per formula unit

The following is a SCAN calculation of a PBEsol-optimized structure of K2RbSmV2O8, from Alexandria.

Geometry as extended XYZ:
```
14
Lattice="5.989 0.000 0.000 -2.995 5.187 0.000 0.000 0.000 7.658" Properties=species:S:1:pos:R:3 pbc="T T T"
K 2.995 1.729 2.373
K 0.000 3.458 5.285
Rb 0.000 0.000 0.000
Sm 0.000 0.000 3.829
V 2.995 1.729 5.816
V 0.000 3.458 1.842
O 2.995 1.729 7.472
O 0.000 3.458 0.186
O 2.995 3.354 5.205
O 0.000 1.833 2.453
O 4.402 0.916 5.205
O -1.408 4.271 2.453
O 1.587 0.916 5.205
O 1.408 4.271 2.453
```

Total energy ... -205.8 eV for the cell shown
Formation energy from raw total energies ... -2798 meV per atom
M_tot ... 0.000 μB per formula unit